No. 1
## Na12ReN6 (GGA-PBE)

Data for a relaxed structure of Na12ReN6.

Summary:
The calculation puts the total energy at -70.171 eV for the cell shown. As for the crystal system: trigonal.

a b c (Å): 7.743 7.743 7.743
angles (deg): 84.93 84.93 84.93
Atoms (fractional coordinates):
1 Na 0.627 0.124 0.627
2 Na 0.124 0.627 0.627
3 Na 0.627 0.627 0.124
4 Na 0.373 0.876 0.373
5 Na 0.876 0.373 0.373
6 Na 0.373 0.373 0.876
7 Na 0.629 0.103 0.103
8 Na 0.897 0.371 0.897
9 Na 0.897 0.897 0.371
10 Na 0.371 0.897 0.897
11 Na 0.103 0.629 0.103
12 Na 0.103 0.103 0.629
13 Re 0.000 0.000 0.000
14 N 0.170 0.902 0.170
15 N 0.098 0.830 0.830
16 N 0.830 0.830 0.098
17 N 0.830 0.098 0.830
18 N 0.902 0.170 0.170
19 N 0.170 0.170 0.902

=====

No. 2
## Na3ReN2 (GGA-PBE)

Data for a relaxed structure of Na3ReN2.

Summary:
The calculation puts the total energy at -67.706 eV for the cell shown. As for the crystal system: orthorhombic.

a b c (Å): 5.681 5.681 6.406
angles (deg): 90.00 90.00 100.97
Atoms (fractional coordinates):
1 Na 0.736 0.736 0.750
2 Na 0.264 0.264 0.250
3 Na 0.288 0.712 0.500
4 Na 0.288 0.712 0.000
5 Na 0.712 0.288 0.500
6 Na 0.712 0.288 0.000
7 Re 0.852 0.852 0.250
8 Re 0.148 0.148 0.750
9 N 0.601 0.601 0.250
10 N 0.399 0.399 0.750
11 N 0.000 0.000 0.500
12 N 0.000 0.000 0.000

=====

Repeat the second record exactly.
## Na3ReN2 (GGA-PBE)

Data for a relaxed structure of Na3ReN2.

Summary:
The calculation puts the total energy at -67.706 eV for the cell shown. As for the crystal system: orthorhombic.

a b c (Å): 5.681 5.681 6.406
angles (deg): 90.00 90.00 100.97
Atoms (fractional coordinates):
1 Na 0.736 0.736 0.750
2 Na 0.264 0.264 0.250
3 Na 0.288 0.712 0.500
4 Na 0.288 0.712 0.000
5 Na 0.712 0.288 0.500
6 Na 0.712 0.288 0.000
7 Re 0.852 0.852 0.250
8 Re 0.148 0.148 0.750
9 N 0.601 0.601 0.250
10 N 0.399 0.399 0.750
11 N 0.000 0.000 0.500
12 N 0.000 0.000 0.000